The following is a SCAN calculation of ZrReNi at its PBEsol-relaxed geometry, from the Alexandria database.

Cell: 6.0103 6.0103 6.0103 Å, 90.00 90.00 90.00°
Last column: nearest neighbours and their distance in Å.
Element x y z (fractional)
1 Zr 0.0000 0.0000 0.0000  4 Re 2.60
2 Zr 0.0000 0.5000 0.5000  4 Re 2.60
3 Zr 0.5000 0.0000 0.5000  4 Re 2.60
4 Zr 0.5000 0.5000 0.0000  4 Re 2.60
5 Re 0.2500 0.2500 0.2500  4 Zr 2.60, 4 Ni 2.60
6 Re 0.2500 0.7500 0.7500  4 Zr 2.60, 4 Ni 2.60
7 Re 0.7500 0.2500 0.7500  4 Zr 2.60, 4 Ni 2.60
8 Re 0.7500 0.7500 0.2500  4 Zr 2.60, 4 Ni 2.60
9 Ni 0.0000 0.0000 0.5000  4 Re 2.60
10 Ni 0.0000 0.5000 0.0000  4 Re 2.60
11 Ni 0.5000 0.0000 0.0000  4 Re 2.60
12 Ni 0.5000 0.5000 0.5000  4 Re 2.60

The calculation puts the calculated formation energy at 0.70 eV/atom. Its final energy is -38.6209 eV per atom.